Computed, not measured: an optimized crystal structure of ScTlCuS2 at the PBE-GGA level of DFT. Values from VASP.

```
&SYSTEM
  ibrav = 0, nat = 10, ntyp = 4
/
ATOMIC_SPECIES
Sc 44.96 Sc.upf
Tl 204.38 Tl.upf
Cu 63.55 Cu.upf
S 32.06 S.upf
ATOMIC_POSITIONS crystal
Sc 0.000 0.003 0.250
Sc 0.000 0.997 0.750
Tl 0.500 0.291 0.250
Tl 0.500 0.709 0.750
Cu 0.000 0.500 0.000
Cu 0.000 0.500 0.500
S 0.224 0.211 0.571
S 0.224 0.789 0.071
S 0.776 0.211 0.929
S 0.776 0.789 0.429
CELL_PARAMETERS angstrom
6.708 0.000 0.000
0.000 5.676 0.000
-2.026 0.000 6.382
```

Calculated values
E_tot	-50.10	eV for the cell shown
ρ	5.15	g cm⁻³
N(E_F)	2.595	states/eV/f.u.